# 1
# Ca2Tb2Pr15

A relaxed structure of Ca2Tb2Pr15 (PBE-GGA, the Alexandria database).

a b c (Å): 9.0627 9.0627 9.0627
angles (deg): 80.99 80.99 80.99
Closest atoms and distances in Å follow each position.
Atoms (fractional coordinates):
Ca 0.3300 0.3300 0.3300  15 Pr 4.17-4.49, 1 Tb 4.24
Pr 0.0000 0.7059 0.2941  6 Pr 3.46-3.49, 2 Tb 3.86
Pr 0.3639 0.3639 0.8531  6 Pr 3.46-3.49
Pr 0.7059 0.0000 0.2941  6 Pr 3.46-3.49, 2 Tb 3.86
Pr 0.8531 0.3639 0.3639  6 Pr 3.46-3.49
Pr 0.3639 0.8531 0.3639  6 Pr 3.46-3.49
Tb 0.0944 0.0944 0.0944  1 Tb 3.40, 3 Pr 3.64
Ca 0.6700 0.6700 0.6700  15 Pr 4.17-4.49, 1 Tb 4.24
Pr 0.6361 0.6361 0.1469  6 Pr 3.46-3.49
Pr 0.1469 0.6361 0.6361  6 Pr 3.46-3.49
Pr 0.0000 0.2941 0.7059  6 Pr 3.46-3.49, 2 Tb 3.86
Tb 0.9056 0.9056 0.9056  1 Tb 3.40, 3 Pr 3.64
Pr 0.6361 0.1469 0.6361  6 Pr 3.46-3.49
Pr 0.0000 0.5000 0.0000  8 Pr 3.47-3.48, 2 Tb 3.64
Pr 0.2941 0.0000 0.7059  6 Pr 3.46-3.49, 2 Tb 3.86
Pr 0.0000 0.0000 0.5000  8 Pr 3.47-3.48, 2 Tb 3.64
Pr 0.2941 0.7059 0.0000  6 Pr 3.46-3.49, 2 Tb 3.86
Pr 0.7059 0.2941 0.0000  6 Pr 3.46-3.49, 2 Tb 3.86
Pr 0.5000 0.0000 0.0000  8 Pr 3.47-3.48, 2 Tb 3.64

Output
SG: R-3m

---

# 2
# CaTb8Pr3

A relaxed structure of CaTb8Pr3 (PBE-GGA, the Alexandria database).

a b c (Å): 8.5865 8.5865 8.5865
angles (deg): 92.65 118.48 118.48
Closest atoms and distances in Å follow each position.
Atoms (fractional coordinates):
Pr 0.0000 0.5000 0.5000  8 Tb 2.94-3.18
Tb 0.0000 0.2261 0.6923  1 Pr 2.94, 1 Tb 3.20
Tb 0.0000 0.8625 0.5918  3 Pr 3.18-3.43, 3 Tb 3.20-3.40
Tb 0.4663 0.7739 0.7739  1 Pr 2.94, 1 Tb 3.20
Pr 0.5000 0.2500 0.7500  4 Tb 3.43
Ca 0.0000 0.0000 0.0000  8 Tb 3.35-3.65
Pr 0.5000 0.7500 0.2500  4 Tb 3.43
Tb 0.2707 0.4082 0.4082  3 Pr 3.18-3.43, 3 Tb 3.20-3.40
Tb 0.0000 0.6923 0.2261  1 Pr 2.94, 1 Tb 3.20
Tb 0.0000 0.5918 0.8625  3 Pr 3.18-3.43, 3 Tb 3.20-3.40
Tb 0.5337 0.3077 0.3077  1 Pr 2.94, 1 Tb 3.20
Tb 0.7293 0.1375 0.1375  3 Pr 3.18-3.43, 3 Tb 3.20-3.40

Output
SG: I-42m

---

# 3
# CaTb3Pr12

A relaxed structure of CaTb3Pr12 (PBE-GGA, the Alexandria database).

a b c (Å): 5.2246 5.2246 20.8624
angles (deg): 90.00 90.00 90.00
Closest atoms and distances in Å follow each position.
Atoms (fractional coordinates):
Pr 0.5000 0.0000 0.1294  8 Pr 3.64-3.76, 2 Tb 3.65, 2 Ca 3.76
Tb 0.0000 0.0000 0.2513  12 Pr 3.65-3.69
Pr 0.0000 0.5000 0.3761  8 Pr 3.68-3.69, 4 Tb 3.68-3.69
Ca 0.0000 0.0000 0.0000  12 Pr 3.69-3.76
Pr 0.0000 0.5000 0.1294  8 Pr 3.64-3.76, 2 Tb 3.65, 2 Ca 3.76
Tb 0.0000 0.0000 0.5000  12 Pr 3.68-3.69
Pr 0.5000 0.5000 0.7488  8 Pr 3.64-3.69, 4 Tb 3.69
Tb 0.0000 0.0000 0.7487  12 Pr 3.65-3.69
Pr 0.5000 0.5000 0.2512  8 Pr 3.64-3.69, 4 Tb 3.69
Pr 0.0000 0.5000 0.6239  4 Tb 3.68-3.69, 8 Pr 3.68-3.69
Pr 0.0000 0.5000 0.8706  8 Pr 3.64-3.76, 2 Tb 3.65, 2 Ca 3.76
Pr 0.5000 0.0000 0.6239  4 Tb 3.68-3.69, 8 Pr 3.68-3.69
Pr 0.5000 0.5000 0.5000  8 Pr 3.68, 4 Tb 3.69
Pr 0.5000 0.0000 0.3761  8 Pr 3.68-3.69, 4 Tb 3.68-3.69
Pr 0.5000 0.0000 0.8706  8 Pr 3.64-3.76, 2 Tb 3.65, 2 Ca 3.76
Pr 0.5000 0.5000 0.0000  4 Ca 3.69, 8 Pr 3.76

Output
SG: P4/mmm

---

# 4
# CaTb8Pr6

A relaxed structure of CaTb8Pr6 (PBE-GGA, the Alexandria database).

a b c (Å): 6.2833 9.9706 9.9706
angles (deg): 120.00 90.00 90.00
Closest atoms and distances in Å follow each position.
Atoms (fractional coordinates):
Tb 0.0694 0.3174 0.3374  5 Tb 3.35-3.57, 3 Pr 3.39-3.49
Pr 0.4392 0.5583 0.6895  4 Tb 3.39-3.68, 3 Pr 3.44-3.70
Tb 0.9306 0.3374 0.0200  5 Tb 3.35-3.57, 3 Pr 3.39-3.49
Tb 0.9306 0.9800 0.3174  5 Tb 3.35-3.57, 3 Pr 3.39-3.49
Tb 0.0694 0.0200 0.6826  5 Tb 3.35-3.57, 3 Pr 3.39-3.49
Pr 0.5608 0.6895 0.1312  4 Tb 3.39-3.68, 3 Pr 3.44-3.70
Pr 0.5608 0.4417 0.3105  4 Tb 3.39-3.68, 3 Pr 3.44-3.70
Tb 0.0694 0.6626 0.9800  5 Tb 3.35-3.57, 3 Pr 3.39-3.49
Ca 0.5000 0.0000 0.0000  6 Pr 3.94, 6 Tb 4.24
Pr 0.4392 0.1312 0.4417  4 Tb 3.39-3.68, 3 Pr 3.44-3.70
Pr 0.4392 0.3105 0.8688  4 Tb 3.39-3.68, 3 Pr 3.44-3.70
Pr 0.5608 0.8688 0.5583  4 Tb 3.39-3.68, 3 Pr 3.44-3.70
Tb 0.0845 0.6667 0.3333  6 Tb 3.35-3.50, 3 Pr 3.68
Tb 0.9155 0.3333 0.6667  6 Tb 3.35-3.50, 3 Pr 3.68
Tb 0.9306 0.6826 0.6626  5 Tb 3.35-3.57, 3 Pr 3.39-3.49

Output
SG: P-3

---

# 5
# CaTbPr2

A relaxed structure of CaTbPr2 (PBE-GGA, the Alexandria database).

a b c (Å): 3.6290 3.6290 13.1080
angles (deg): 82.04 82.04 60.00
Closest atoms and distances in Å follow each position.
Atoms (fractional coordinates):
Pr 0.0916 0.0916 0.7253  1 Ca 3.55, 3 Tb 3.59, 6 Pr 3.63
Tb 0.5000 0.5000 0.5000  6 Pr 3.59, 6 Tb 3.63
Pr 0.9084 0.9084 0.2747  1 Ca 3.55, 3 Tb 3.59, 6 Pr 3.63
Ca 0.0000 0.0000 0.0000  2 Pr 3.55, 6 Ca 3.63

Output
polymorph energy (0 for the lowest one): 99 meV per atom
SG: R-3m

---

# 6
# CaTb4Pr15

A relaxed structure of CaTb4Pr15 (PBE-GGA, the Alexandria database).

a b c (Å): 5.2279 5.2279 26.0100
angles (deg): 90.00 90.00 90.00
Closest atoms and distances in Å follow each position.
Atoms (fractional coordinates):
Pr 0.5000 0.0000 0.5000  4 Tb 3.68, 8 Pr 3.69-3.70
Pr 0.5000 0.0000 0.1035  2 Tb 3.64, 8 Pr 3.64-3.75, 2 Ca 3.75
Pr 0.5000 0.0000 0.6988  8 Pr 3.67-3.70, 4 Tb 3.68-3.69
Pr 0.5000 0.5000 0.5999  8 Pr 3.67-3.69, 4 Tb 3.70
Pr 0.5000 0.5000 0.0000  4 Ca 3.70, 8 Pr 3.75
Pr 0.5000 0.0000 0.3012  8 Pr 3.67-3.70, 4 Tb 3.68-3.69
Pr 0.0000 0.5000 0.3012  8 Pr 3.67-3.70, 4 Tb 3.68-3.69
Tb 0.0000 0.0000 0.7989  12 Pr 3.64-3.70
Pr 0.5000 0.5000 0.2011  8 Pr 3.64-3.69, 4 Tb 3.70
Pr 0.0000 0.5000 0.5000  4 Tb 3.68, 8 Pr 3.69-3.70
Pr 0.5000 0.5000 0.4001  8 Pr 3.67-3.69, 4 Tb 3.70
Pr 0.5000 0.5000 0.7989  8 Pr 3.64-3.69, 4 Tb 3.70
Pr 0.0000 0.5000 0.1035  2 Tb 3.64, 8 Pr 3.64-3.75, 2 Ca 3.75
Pr 0.0000 0.5000 0.8965  2 Tb 3.64, 8 Pr 3.64-3.75, 2 Ca 3.75
Pr 0.5000 0.0000 0.8965  2 Tb 3.64, 8 Pr 3.64-3.75, 2 Ca 3.75
Tb 0.0000 0.0000 0.2011  12 Pr 3.64-3.70
Pr 0.0000 0.5000 0.6988  8 Pr 3.67-3.70, 4 Tb 3.68-3.69
Ca 0.0000 0.0000 0.0000  12 Pr 3.70-3.75
Tb 0.0000 0.0000 0.4006  12 Pr 3.68-3.70
Tb 0.0000 0.0000 0.5994  12 Pr 3.68-3.70

Output
SG: P4/mmm

---

What are the theoretical density values for these records? In order: 5.8 6.3 6.4 6.6 5.4 6.5 g cm⁻³.
What are the formation energy from the elements values for these records? In order: 0.221 0.632 0.023 0.216 0.120 0.019 eV/atom.